# 1
Below is a relaxed AcB4Mo crystal, with properties calculated at the PBE level.

Cell and atoms, written as extended XYZ:
```
6
Lattice="-1.605 2.814 3.989 1.605 -2.814 3.989 1.605 2.814 -3.989" Properties=species:S:1:pos:R:3 pbc="T T T"
Ac 0.000 0.000 0.000
B 1.605 -0.887 2.074
B 1.605 0.887 2.074
B 0.000 1.927 1.915
B 0.000 3.701 1.915
Mo 0.000 0.000 3.989
```

Calculated values
Calculated volume, Å³/atom: 12.01
DFT total energy, eV for the cell shown: -40.53


# 2
Below is a relaxed AcNbB4 crystal, with properties calculated at the PBE level.

Cell and atoms, written as extended XYZ:
```
6
Lattice="-1.628 2.849 4.012 1.628 -2.849 4.012 1.628 2.849 -4.012" Properties=species:S:1:pos:R:3 pbc="T T T"
Ac 0.000 0.000 0.000
Nb 0.000 0.000 4.012
B 1.628 -0.910 2.068
B 1.628 0.910 2.068
B 0.000 1.939 1.944
B 0.000 3.758 1.944
```

Calculated values
Calculated volume, Å³/atom: 12.40
DFT total energy, eV for the cell shown: -40.96


# 3
Below is a relaxed AcNbB4 crystal, with properties calculated at the PBE level.

Cell and atoms, written as extended XYZ:
```
6
Lattice="3.209 0.000 0.000 -1.605 2.779 0.000 0.000 0.000 7.969" Properties=species:S:1:pos:R:3 pbc="T T T"
Ac 0.000 0.000 0.000
Nb 0.000 0.000 3.984
B 0.000 1.853 2.337
B 0.000 1.853 5.632
B 1.605 0.926 2.337
B 1.605 0.926 5.632
```

Calculated values
Calculated volume, Å³/atom: 11.85
DFT total energy, eV for the cell shown: -43.20


# 4
Below is a relaxed AcNdB4 crystal, with properties calculated at the PBE level.

Cell and atoms, written as extended XYZ:
```
6
Lattice="3.374 0.000 0.000 -1.687 2.922 0.000 0.000 0.000 8.605" Properties=species:S:1:pos:R:3 pbc="T T T"
Ac 0.000 0.000 0.000
Nd 0.000 0.000 4.303
B 0.000 1.948 2.270
B 0.000 1.948 6.335
B 1.687 0.974 2.270
B 1.687 0.974 6.335
```

Calculated values
Calculated volume, Å³/atom: 14.14
DFT total energy, eV for the cell shown: -36.24


# 5
Below is a relaxed AcNdB crystal, with properties calculated at the PBE level.

Cell and atoms, written as extended XYZ:
```
3
Lattice="0.000 3.423 3.423 3.423 0.000 3.423 3.423 3.423 0.000" Properties=species:S:1:pos:R:3 pbc="T T T"
Ac 0.000 0.000 0.000
Nd 3.423 3.423 3.423
B 1.711 1.711 1.711
```

Calculated values
Calculated volume, Å³/atom: 26.74
DFT total energy, eV for the cell shown: -14.65


# 6
Below is a relaxed AcNdB4 crystal, with properties calculated at the PBE level.

Cell and atoms, written as extended XYZ:
```
6
Lattice="-1.702 2.886 4.326 1.702 -2.886 4.326 1.702 2.886 -4.326" Properties=species:S:1:pos:R:3 pbc="T T T"
Ac 0.000 0.000 0.000
Nd 0.000 0.000 4.326
B 1.702 -0.942 2.169
B 1.702 0.942 2.169
B 0.000 1.944 2.157
B 0.000 3.827 2.157
```

Calculated values
Calculated volume, Å³/atom: 14.16
DFT total energy, eV for the cell shown: -36.11


# 7
Below is a relaxed AcNiB crystal, with properties calculated at the PBE level.

Cell and atoms, written as extended XYZ:
```
3
Lattice="0.000 3.124 3.124 3.124 0.000 3.124 3.124 3.124 0.000" Properties=species:S:1:pos:R:3 pbc="T T T"
Ac 0.000 0.000 0.000
Ni 3.124 3.124 3.124
B 1.562 1.562 1.562
```

Calculated values
Calculated volume, Å³/atom: 20.32
DFT total energy, eV for the cell shown: -14.96


# 8
Below is a relaxed AcNi12B6 crystal, with properties calculated at the PBE level.

Cell and atoms, written as extended XYZ:
```
19
Lattice="4.828 2.788 2.485 -4.828 2.788 2.485 0.000 -5.575 2.485" Properties=species:S:1:pos:R:3 pbc="T T T"
Ac 0.000 0.000 0.000
Ni -1.775 -3.074 3.728
Ni -3.549 0.000 3.728
Ni -1.321 -0.763 2.761
Ni 1.321 -0.763 2.761
Ni 0.000 1.526 2.761
Ni 1.775 -3.074 3.728
Ni -1.775 3.074 3.728
Ni 0.000 -1.526 4.695
Ni -1.321 0.763 4.695
Ni 1.321 0.763 4.695
Ni 3.549 0.000 3.728
Ni 1.775 3.074 3.728
B 0.000 -2.355 2.777
B -2.039 1.177 2.777
B -2.039 -1.177 4.678
B 2.039 1.177 2.777
B 2.039 -1.177 4.678
B 0.000 2.355 4.678
```

Calculated values
Calculated volume, Å³/atom: 10.56
DFT total energy, eV for the cell shown: -118.31


> The lowest DFT total energy belongs to which entry?

AcNi12B6


> Look up the calculated volume of the eighth one.

10.56 Å³/atom


> Number 5 is which compound?

AcNdB